# HgOsAu3

A relaxed HgOsAu3 crystal (GGA-PBE, Alexandria via LeMat-Bulk).

a = 5.0792 Å, b = 5.0792 Å, c = 5.0792 Å
α = 90.00°, β = 90.00°, γ = 90.00°
Space group Pm-3m (No. 221)
Symmetry-distinct sites (fractional):
Hg  0.0000  0.0000  0.0000 (multiplicity 1)
Os  0.5000  0.5000  0.5000 (multiplicity 1)
Au  0.0000  0.5000  0.5000 (multiplicity 3)

The crystal system is cubic. As for the calculated formation energy: 1.141 eV per atom. The calculation puts the relative energy among the computed polymorphs at 0.00 eV per formula unit. Its mass density is 12.44 g cm⁻³. Its density of states at the Fermi level is 4.5 states/eV per cell. The calculated volume comes out at 26.2 Å³ per atom.

---

# Hg2OsAu

A relaxed Hg2OsAu crystal (GGA-PBE, Alexandria via LeMat-Bulk).

a = 2.8701 Å, b = 5.1730 Å, c = 10.3462 Å
α = 90.00°, β = 90.00°, γ = 90.00°
Space group Cmm2 (No. 35)
Symmetry-distinct sites (fractional):
Hg  0.0000  0.0000  0.0000 (multiplicity 2)
Hg  0.0000  0.5000  0.2781 (multiplicity 2)
Os  0.0000  0.5000  0.7601 (multiplicity 2)
Au  0.0000  0.0000  0.5332 (multiplicity 2)

The crystal system is orthorhombic. As for the calculated formation energy: 0.646 eV per atom. The calculation puts the relative energy among the computed polymorphs at 0.22 eV per formula unit. Its mass density is 17.04 g cm⁻³. Its density of states at the Fermi level is 6.7 states/eV per cell. The calculated volume comes out at 19.2 Å³ per atom.

---

# Hg2OsAu

A relaxed Hg2OsAu crystal (GGA-PBE, Alexandria via LeMat-Bulk).

a = 2.9435 Å, b = 2.9435 Å, c = 8.6237 Å
α = 90.00°, β = 90.00°, γ = 90.00°
Space group P4/mmm (No. 123)
Symmetry-distinct sites (fractional):
Hg  0.0000  0.0000  0.2379 (multiplicity 2)
Os  0.5000  0.5000  0.0000 (multiplicity 1)
Au  0.5000  0.5000  0.5000 (multiplicity 1)

The crystal system is tetragonal. As for the calculated formation energy: 0.671 eV per atom. The calculation puts the relative energy among the computed polymorphs at 0.32 eV per formula unit. Its mass density is 17.52 g cm⁻³. Its density of states at the Fermi level is 2.9 states/eV per cell. The calculated volume comes out at 18.7 Å³ per atom.

---

# HgOsAu

A relaxed HgOsAu crystal (GGA-PBE, Alexandria via LeMat-Bulk).

a = 2.8780 Å, b = 2.8780 Å, c = 12.8346 Å
α = 90.00°, β = 90.00°, γ = 90.00°
Space group I4mm (No. 107)
Symmetry-distinct sites (fractional):
Hg  0.0000  0.0000  0.0000 (multiplicity 2)
Os  0.0000  0.0000  0.3348 (multiplicity 2)
Au  0.0000  0.0000  0.6810 (multiplicity 2)

The crystal system is tetragonal. As for the calculated formation energy: 0.756 eV per atom. The calculation puts the relative energy among the computed polymorphs at 0.25 eV per formula unit. Its mass density is 18.36 g cm⁻³. Its density of states at the Fermi level is 6.0 states/eV per cell. The calculated volume comes out at 17.7 Å³ per atom.

---

Q: density of states at the Fermi level of number 1 (HgOsAu3)?
A: 4.5 states/eV per cell

---

Q: Which value of mass density does entry 2 give?
A: 17.04 g cm⁻³

---

Q: Which formula does entry 3 have?
A: Hg2OsAu

---

Q: Number 3 is which compound?
A: Hg2OsAu